[1]
{
  "formula": "Eu2PdAu",
  "functional": "GGA-PBE",
  "state": "relaxed",
  "delta_e_f_ev_per_atom": -0.722,
  "n_ef_per_ev_fu": 17.385,
  "final_energy_ev_per_cell": -31.907,
  "lattice": [[3.685, 0.000, 0.000], [0.000, 3.685, 0.000], [0.000, 0.000, 7.363]],
  "species": ["Eu", "Eu", "Pd", "Au"],
  "fractional_positions": [[0.000, 0.000, 0.242], [0.000, 0.000, 0.758], [0.500, 0.500, 0.000], [0.500, 0.500, 0.500]]
}


[2]
{
  "formula": "DyTh5",
  "functional": "GGA-PBE",
  "state": "relaxed",
  "delta_e_f_ev_per_atom": 0.036,
  "n_ef_per_ev_fu": 9.110,
  "final_energy_ev_per_cell": -41.483,
  "lattice": [[2.513, -7.629, 0.000], [2.513, 7.629, 0.000], [0.000, 0.000, 5.010]],
  "species": ["Dy", "Th", "Th", "Th", "Th", "Th"],
  "fractional_positions": [[0.000, 0.000, 0.000], [0.166, 0.834, 0.500], [0.332, 0.668, 0.000], [0.500, 0.500, 0.500], [0.668, 0.332, 0.000], [0.834, 0.166, 0.500]]
}


[3]
{
  "formula": "Li2Cd2Ge",
  "functional": "GGA-PBE",
  "state": "relaxed",
  "delta_e_f_ev_per_atom": -0.025,
  "n_ef_per_ev_fu": 2.448,
  "final_energy_ev_per_cell": -10.400,
  "lattice": [[2.417, -4.348, 0.000], [2.417, 4.348, 0.000], [-0.008, 0.000, 5.104]],
  "species": ["Li", "Li", "Cd", "Cd", "Ge"],
  "fractional_positions": [[0.000, 0.000, 0.243], [0.000, 0.000, 0.757], [0.332, 0.668, 0.500], [0.668, 0.332, 0.500], [0.500, 0.500, 0.000]]
}


[4]
{
  "formula": "TiHS",
  "functional": "GGA-PBE",
  "state": "relaxed",
  "n_ef_per_ev_fu": 1.192,
  "final_energy_ev_per_cell": -34.724,
  "lattice": [[3.347, 0.000, 0.000], [0.000, 3.347, 0.000], [0.000, 0.000, 7.168]],
  "species": ["Ti", "Ti", "H", "H", "S", "S"],
  "fractional_positions": [[0.250, 0.250, 0.141], [0.750, 0.750, 0.859], [0.250, 0.250, 0.382], [0.750, 0.750, 0.618], [0.250, 0.250, 0.778], [0.750, 0.750, 0.222]]
}


[5]
{
  "formula": "MnVCu3",
  "functional": "GGA-PBE",
  "state": "relaxed",
  "delta_e_f_ev_per_atom": 1.203,
  "n_ef_per_ev_fu": 5.659,
  "final_energy_ev_per_cell": -24.563,
  "lattice": [[4.453, 0.000, 0.000], [0.000, 4.453, 0.000], [0.000, 0.000, 4.453]],
  "species": ["Mn", "V", "Cu", "Cu", "Cu"],
  "fractional_positions": [[0.000, 0.000, 0.000], [0.500, 0.500, 0.500], [0.000, 0.000, 0.500], [0.000, 0.500, 0.000], [0.500, 0.000, 0.000]]
}


[6]
{
  "formula": "ZrMnSb2Br",
  "functional": "GGA-PBE",
  "state": "relaxed",
  "e_form_raw_mev_per_atom": 401,
  "n_ef_per_ev_fu": 3.905,
  "final_energy_ev_per_cell": -25.630,
  "lattice": [[5.156, 0.000, 0.000], [0.000, 5.156, 0.000], [0.000, 0.000, 4.536]],
  "species": ["Zr", "Mn", "Sb", "Sb", "Br"],
  "fractional_positions": [[0.000, 0.000, 0.000], [0.500, 0.500, 0.500], [0.000, 0.500, 0.500], [0.500, 0.000, 0.500], [0.500, 0.500, 0.000]]
}


[7]
{
  "formula": "HoZnGe",
  "functional": "GGA-PBE",
  "state": "relaxed",
  "delta_e_f_ev_per_atom": -0.656,
  "n_ef_per_ev_fu": 0.472,
  "final_energy_ev_per_cell": -49.754,
  "lattice": [[4.222, 0.000, 0.000], [-2.111, 3.656, 0.000], [0.000, 0.000, 15.624]],
  "species": ["Ho", "Ho", "Ho", "Ho", "Zn", "Zn", "Zn", "Zn", "Ge", "Ge", "Ge", "Ge"],
  "fractional_positions": [[0.000, 0.000, 0.000], [0.000, 0.000, 0.250], [0.000, 0.000, 0.500], [0.000, 0.000, 0.750], [0.333, 0.667, 0.147], [0.333, 0.667, 0.353], [0.667, 0.333, 0.647], [0.667, 0.333, 0.853], [0.333, 0.667, 0.614], [0.333, 0.667, 0.886], [0.667, 0.333, 0.114], [0.667, 0.333, 0.386]]
}


[8]
{
  "formula": "Ca2NbSiAg",
  "functional": "GGA-PBE",
  "state": "relaxed",
  "e_form_raw_mev_per_atom": 875,
  "n_ef_per_ev_fu": 5.199,
  "final_energy_ev_per_cell": -17.970,
  "lattice": [[5.415, 0.000, 0.000], [0.000, 5.415, 0.000], [0.000, 0.000, 5.124]],
  "species": ["Ca", "Ca", "Nb", "Si", "Ag"],
  "fractional_positions": [[0.000, 0.500, 0.000], [0.500, 0.000, 0.000], [0.000, 0.000, 0.500], [0.500, 0.500, 0.500], [0.000, 0.000, 0.000]]
}